DFT (GGA-PBE) results for a relaxed Cd2RhW crystal.

Structure (POSCAR):
```
Cd2RhW
1.0
-9.740 2.930 -0.494
-9.670 2.214 2.296
-8.837 4.843 1.462
Rh Cd W
1 2 1
Cartesian
-14.320 5.063 1.655
-28.055 9.919 3.242
-21.421 7.574 2.475
-6.821 2.412 0.788
```

Results
- Energy: -5.4218 eV/atom
- Density: 11.8 Mg/m³
- Space-group type: R3m
- Formation energy: 0.112 eV/atom